VASP calculation (PBE) on an optimized crystal structure of HoTaN3.

Calculated values
* uncorrected energy: -9.31 eV per atom
* D(E_F): 4.34 states/eV per cell
* E_form (uncorrected): -1.026 eV/atom

a = 5.5981 Å, b = 3.7162 Å, c = 8.2191 Å
α = 90.00°, β = 108.97°, γ = 90.00°
Closest atoms and distances in Å follow each position.
Space group P2_1/m (No. 11)
One atom of each set of equivalent atoms:
1 Ho 0.0438 0.2500 0.3235 (multiplicity 2)  6 N 2.27-2.44
2 Ta 0.4823 0.2500 0.8322 (multiplicity 2)  4 N 1.89-2.06
3 N 0.1956 0.2500 0.6152 (multiplicity 2)  1 Ta 1.97
4 N 0.2323 0.7500 0.2430 (multiplicity 2)  1 Ta 1.89
5 N 0.3695 0.7500 0.8859 (multiplicity 2)  3 Ta 2.06-2.19



VASP calculation (PBE) on an optimized crystal structure of Ho3Ta5N12.

Calculated values
* uncorrected energy: -9.74 eV per atom
* D(E_F): 134.73 states/eV per cell
* E_form (uncorrected): -1.098 eV/atom

a = 12.9163 Å, b = 12.9163 Å, c = 12.9163 Å
α = 90.00°, β = 90.00°, γ = 90.00°
Closest atoms and distances in Å follow each position.
Space group Ia-3d (No. 230)
One atom of each set of equivalent atoms:
1 Ho 0.0000 0.2500 0.1250 (multiplicity 24)  8 N 2.48-2.55
2 Ta 0.0000 0.0000 0.0000 (multiplicity 16)  6 N 2.09
3 Ta 0.0000 0.2500 0.3750 (multiplicity 24)  4 N 1.94
4 N 0.0290 0.0561 0.6493 (multiplicity 96)  2 Ta 1.94-2.09



VASP calculation (PBE) on an optimized crystal structure of HoTa4N6.

Calculated values
* uncorrected energy: -10.49 eV per atom
* D(E_F): 6.69 states/eV per cell
* E_form (uncorrected): -1.219 eV/atom

a = 3.1215 Å, b = 10.2656 Å, c = 15.6844 Å
α = 90.00°, β = 90.00°, γ = 90.00°
Closest atoms and distances in Å follow each position.
Space group Cmcm (No. 63)
One atom of each set of equivalent atoms:
1 Ho 0.0000 0.1534 0.2500 (multiplicity 4)  6 N 2.36-2.44
2 Ta 0.0000 0.1020 0.6311 (multiplicity 8)  5 N 2.01-2.16
3 Ta 0.0000 0.3540 0.5420 (multiplicity 8)  6 N 2.14-2.33
4 N 0.0000 0.0000 0.0000 (multiplicity 4)  6 Ta 2.26-2.31
5 N 0.0000 0.1739 0.7500 (multiplicity 4)  2 Ta 2.01
6 N 0.0000 0.2638 0.0940 (multiplicity 8)  5 Ta 2.14-2.33
7 N 0.0000 0.4635 0.6584 (multiplicity 8)  3 Ta 2.15



VASP calculation (PBE) on an optimized crystal structure of Ho5TaN6.

Calculated values
* uncorrected energy: -8.71 eV per atom
* D(E_F): 4.46 states/eV per cell
* E_form (uncorrected): -1.651 eV/atom

a = 5.8509 Å, b = 10.1158 Å, c = 5.8375 Å
α = 90.00°, β = 109.54°, γ = 90.00°
Closest atoms and distances in Å follow each position.
Space group C2/m (No. 12)
One atom of each set of equivalent atoms:
1 Ho 0.0000 0.0000 0.0000 (multiplicity 2)  6 N 2.38-2.52
2 Ho 0.0000 0.1667 0.5000 (multiplicity 4)  6 N 2.39-2.40
3 Ho 0.0000 0.3337 0.0000 (multiplicity 4)  6 N 2.37-2.54
4 Ta 0.0000 0.5000 0.5000 (multiplicity 2)  6 N 2.23-2.25
5 N 0.2330 0.5000 0.2618 (multiplicity 4)  1 Ta 2.25, 4 Ho 2.37-2.40
6 N 0.2343 0.3443 0.7348 (multiplicity 8)  1 Ta 2.23, 4 Ho 2.38-2.39



VASP calculation (PBE) on an optimized crystal structure of Ho2TaN4.

Calculated values
* uncorrected energy: -8.81 eV per atom
* D(E_F): 8.47 states/eV per cell
* E_form (uncorrected): -1.047 eV/atom

a = 5.9406 Å, b = 5.9835 Å, c = 6.5086 Å
α = 90.00°, β = 106.87°, γ = 90.00°
Closest atoms and distances in Å follow each position.
Space group P2_1/m (No. 11)
One atom of each set of equivalent atoms:
1 Ho 0.1551 0.2500 0.0239 (multiplicity 2)  4 N 2.30-2.44
2 Ho 0.2206 0.2500 0.5482 (multiplicity 2)  4 N 2.29-2.44
3 Ta 0.3007 0.7500 0.8186 (multiplicity 2)  4 N 1.92-1.98
4 N 0.0586 0.5124 0.7550 (multiplicity 4)  1 Ta 1.98
5 N 0.4738 0.2500 0.3421 (multiplicity 2)  1 Ta 1.92
6 N 0.4975 0.2500 0.8891 (multiplicity 2)  1 Ta 1.93



VASP calculation (PBE) on an optimized crystal structure of TbHo2TaN4.

Calculated values
* uncorrected energy: -8.91 eV per atom
* D(E_F): 1.95 states/eV per cell
* E_form (uncorrected): -1.543 eV/atom

a = 5.8046 Å, b = 3.3426 Å, c = 5.8194 Å
α = 90.00°, β = 109.10°, γ = 90.00°
Closest atoms and distances in Å follow each position.
Space group P2/m (No. 10)
One atom of each set of equivalent atoms:
1 Tb 0.0000 0.0000 0.0000 (multiplicity 1)  6 N 2.38-2.39
2 Ho 0.5000 0.0000 0.5000 (multiplicity 1)  6 N 2.36-2.37
3 Ho 0.5000 0.5000 0.0000 (multiplicity 1)  6 N 2.48-2.51
4 Ta 0.0000 0.5000 0.5000 (multiplicity 1)  6 N 2.22-2.27
5 N 0.2302 0.0000 0.7277 (multiplicity 2)  2 Ta 2.27, 3 Ho 2.36-2.48, 1 Tb 2.38
6 N 0.2373 0.5000 0.2678 (multiplicity 2)  1 Ta 2.22, 2 Ho 2.37, 2 Tb 2.39



VASP calculation (PBE) on an optimized crystal structure of Tb2HoTaN4.

Calculated values
* uncorrected energy: -8.91 eV per atom
* D(E_F): 1.88 states/eV per cell
* E_form (uncorrected): -1.536 eV/atom

a = 5.8218 Å, b = 3.3496 Å, c = 5.8391 Å
α = 90.00°, β = 109.05°, γ = 90.00°
Closest atoms and distances in Å follow each position.
Space group P2/m (No. 10)
One atom of each set of equivalent atoms:
1 Tb 0.0000 0.0000 0.0000 (multiplicity 1)  6 N 2.50-2.53
2 Tb 0.5000 0.5000 0.0000 (multiplicity 1)  6 N 2.39-2.40
3 Ho 0.0000 0.5000 0.5000 (multiplicity 1)  6 N 2.37
4 Ta 0.5000 0.0000 0.5000 (multiplicity 1)  6 N 2.21-2.27
5 N 0.2642 0.0000 0.7307 (multiplicity 2)  1 Ta 2.21, 2 Ho 2.37, 2 Tb 2.40
6 N 0.2729 0.5000 0.2754 (multiplicity 2)  2 Ta 2.27, 1 Ho 2.37, 3 Tb 2.39-2.50



VASP calculation (PBE) on an optimized crystal structure of Ho2TmTaN4.

Calculated values
* uncorrected energy: -8.95 eV per atom
* D(E_F): 1.94 states/eV per cell
* E_form (uncorrected): -1.604 eV/atom

a = 5.7639 Å, b = 3.3177 Å, c = 5.7762 Å
α = 90.00°, β = 109.12°, γ = 90.00°
Closest atoms and distances in Å follow each position.
Space group P2/m (No. 10)
One atom of each set of equivalent atoms:
1 Ho 0.0000 0.0000 0.0000 (multiplicity 1)  6 N 2.45-2.48
2 Ho 0.5000 0.5000 0.0000 (multiplicity 1)  6 N 2.37
3 Tm 0.0000 0.5000 0.5000 (multiplicity 1)  6 N 2.34-2.35
4 Ta 0.5000 0.0000 0.5000 (multiplicity 1)  6 N 2.22-2.26
5 N 0.2613 0.0000 0.7337 (multiplicity 2)  1 Ta 2.22, 2 Tm 2.35, 3 Ho 2.37-2.48
6 N 0.2691 0.5000 0.2716 (multiplicity 2)  2 Ta 2.26, 1 Tm 2.34, 3 Ho 2.37-2.45